Here is a relaxed structure of K2Na4I3Cl2 from Alexandria. Energies are from PBE.

Output
space group = I4/mmm (139)
DFT total energy = -2.74 eV per atom

Lattice parameters (Å, degrees): 15.6365 15.6365 15.6365 160.45 160.45 27.78
Closest atoms and distances in Å follow each position.
Positions (direct):
K 0.1896 0.1896 0.0000  1 Cl 3.33
K 0.8104 0.8104 0.0000  1 Cl 3.33
Na 0.0736 0.5736 0.5000  2 Cl 2.66
Na 0.4264 0.9264 0.5000  2 Cl 2.66
Na 0.5736 0.0736 0.5000  2 Cl 2.66
Na 0.9264 0.4264 0.5000  2 Cl 2.66
I 0.3577 0.3577 0.0000  4 Na 3.38
I 0.5000 0.5000 0.0000  8 Na 3.47
I 0.6423 0.6423 0.0000  4 Na 3.38
Cl 0.0800 0.0800 0.0000  4 Na 2.66
Cl 0.9200 0.9200 0.0000  4 Na 2.66

Here is a relaxed structure of K3TbF8 from Alexandria. Energies are from PBE.

Output
space group = I4/mmm (139)
DFT total energy = -4.67 eV per atom

Lattice parameters (Å, degrees): 7.4614 7.4614 7.4614 132.33 132.33 69.71
Closest atoms and distances in Å follow each position.
Positions (direct):
K 0.0000 0.0000 0.0000  8 F 2.76
K 0.2500 0.7500 0.5000  8 F 2.75
K 0.7500 0.2500 0.5000  8 F 2.75
Tb 0.5000 0.5000 0.0000  8 F 2.30
F 0.1717 0.1717 0.5638  1 Tb 2.30
F 0.1717 0.6079 0.0000  1 Tb 2.30
F 0.3921 0.3921 0.5638  1 Tb 2.30
F 0.3921 0.8283 0.0000  1 Tb 2.30
F 0.6079 0.1717 0.0000  1 Tb 2.30
F 0.6079 0.6079 0.4362  1 Tb 2.30
F 0.8283 0.3921 0.0000  1 Tb 2.30
F 0.8283 0.8283 0.4362  1 Tb 2.30

Here is a relaxed structure of Al2CdSi from Alexandria. Energies are from PBE.

Output
space group = I4/mmm (139)
DFT total energy = -3.18 eV per atom

Lattice parameters (Å, degrees): 4.9278 4.9278 4.9278 127.75 127.75 77.03
Closest atoms and distances in Å follow each position.
Positions (direct):
Al 0.2500 0.7500 0.5000  4 Cd 2.90, 4 Si 2.90, 4 Al 3.07
Al 0.7500 0.2500 0.5000  4 Cd 2.90, 4 Si 2.90, 4 Al 3.07
Cd 0.0000 0.0000 0.0000  8 Al 2.90, 4 Si 3.07
Si 0.5000 0.5000 0.0000  8 Al 2.90, 4 Cd 3.07

no.,D(E_F) (states/eV/cell),formation energy from raw total energies (meV per atom)
1,2.23,-1306
2,13.85,-2765
3,1.30,274